# 1
# Ba2SiTe PBE relaxed
# DFT total energy: -3.818 eV per atom
# magnetization: 1.99 μB per formula unit
# E_form (uncorrected): -0.715 eV per atom
# energy above the lowest structure with this stoichiometry: 2.4 kJ/mol of atoms
data_Ba2SiTe
_chemical_formula_sum 'Ba6 Si3 Te3'
_cell_length_a 4.9348
_cell_length_b 4.9348
_cell_length_c 24.3348
_cell_angle_alpha 90.00
_cell_angle_beta 90.00
_cell_angle_gamma 120.00
_symmetry_space_group_name_H-M 'R -3 m'
_symmetry_Int_Tables_number 166
_symmetry_space_group_name_Hall '-R 3 2"'
loop_
_atom_site_label
_atom_site_type_symbol
_atom_site_fract_x
_atom_site_fract_y
_atom_site_fract_z
Ba1 Ba 0.0000 0.0000 0.2480
Si1 Si 0.0000 0.0000 0.5000
Te1 Te 0.0000 0.0000 0.0000

# 2
# BaTh2Si6 PBE relaxed
# DFT total energy: -5.929 eV per atom
# magnetization: 0.00 μB per formula unit
# E_form (uncorrected): -0.451 eV per atom
data_BaTh2Si6
_chemical_formula_sum 'Ba1 Th2 Si6'
_cell_length_a 7.2248
_cell_length_b 7.2248
_cell_length_c 4.3414
_cell_angle_alpha 90.00
_cell_angle_beta 90.00
_cell_angle_gamma 120.00
_symmetry_space_group_name_H-M 'P 6/m m m'
_symmetry_Int_Tables_number 191
_symmetry_space_group_name_Hall '-P 6 2'
loop_
_atom_site_label
_atom_site_type_symbol
_atom_site_fract_x
_atom_site_fract_y
_atom_site_fract_z
Ba1 Ba 0.0000 0.0000 0.0000
Th1 Th 0.3333 0.6667 0.0000
Si1 Si 0.0000 0.3400 0.5000

# 3
# BaTi3Si PBE relaxed
# DFT total energy: -4.250 eV per atom
# magnetization: 0.45 μB per formula unit
# E_form (uncorrected): 1.956 eV per atom
# energy above the lowest structure with this stoichiometry: 146.0 kJ/mol of atoms
data_BaTi3Si
_chemical_formula_sum 'Ba1 Ti3 Si1'
_cell_length_a 4.914
_cell_length_b 4.914
_cell_length_c 4.914
_cell_angle_alpha 90.00
_cell_angle_beta 90.00
_cell_angle_gamma 90.00
_symmetry_space_group_name_H-M 'P m -3 m'
_symmetry_Int_Tables_number 221
_symmetry_space_group_name_Hall '-P 4 2 3'
loop_
_atom_site_label
_atom_site_type_symbol
_atom_site_fract_x
_atom_site_fract_y
_atom_site_fract_z
Ba1 Ba 0.000 0.000 0.000
Ti1 Ti 0.000 0.000 0.500
Si1 Si 0.500 0.500 0.500

# 4
# BaTi2Si PBE relaxed
# DFT total energy: -5.391 eV per atom
# magnetization: 0.00 μB per formula unit
# E_form (uncorrected): 0.393 eV per atom
data_BaTi2Si
_chemical_formula_sum 'Ba4 Ti8 Si4'
_cell_length_a 4.820
_cell_length_b 4.820
_cell_length_c 18.986
_cell_angle_alpha 90.00
_cell_angle_beta 90.00
_cell_angle_gamma 90.00
_symmetry_space_group_name_H-M 'I -4 2 d'
_symmetry_Int_Tables_number 122
_symmetry_space_group_name_Hall 'I -4 2bw'
loop_
_atom_site_label
_atom_site_type_symbol
_atom_site_fract_x
_atom_site_fract_y
_atom_site_fract_z
Ba1 Ba 0.000 0.000 0.000
Ti1 Ti 0.016 0.750 0.625
Si1 Si 0.000 0.000 0.500

# 5
# BaTi3Si PBE relaxed
# DFT total energy: -5.764 eV per atom
# magnetization: 0.00 μB per formula unit
# E_form (uncorrected): 0.442 eV per atom
# energy above the lowest structure with this stoichiometry: 0.0 kJ/mol of atoms
data_BaTi3Si
_chemical_formula_sum 'Ba1 Ti3 Si1'
_cell_length_a 4.904
_cell_length_b 4.904
_cell_length_c 4.904
_cell_angle_alpha 90.00
_cell_angle_beta 90.00
_cell_angle_gamma 90.00
_symmetry_space_group_name_H-M 'P m -3 m'
_symmetry_Int_Tables_number 221
_symmetry_space_group_name_Hall '-P 4 2 3'
loop_
_atom_site_label
_atom_site_type_symbol
_atom_site_fract_x
_atom_site_fract_y
_atom_site_fract_z
Ba1 Ba 0.000 0.000 0.000
Ti1 Ti 0.000 0.500 0.500
Si1 Si 0.500 0.500 0.500

# 6
# Ba3TiSi PBE relaxed
# DFT total energy: -3.258 eV per atom
# magnetization: 4.08 μB per formula unit
# E_form (uncorrected): 0.559 eV per atom
# energy above the lowest structure with this stoichiometry: 0.0 kJ/mol of atoms
data_Ba3TiSi
_chemical_formula_sum 'Ba3 Ti1 Si1'
_cell_length_a 6.356
_cell_length_b 6.356
_cell_length_c 6.356
_cell_angle_alpha 90.00
_cell_angle_beta 90.00
_cell_angle_gamma 90.00
_symmetry_space_group_name_H-M 'P m -3 m'
_symmetry_Int_Tables_number 221
_symmetry_space_group_name_Hall '-P 4 2 3'
loop_
_atom_site_label
_atom_site_type_symbol
_atom_site_fract_x
_atom_site_fract_y
_atom_site_fract_z
Ba1 Ba 0.000 0.000 0.500
Ti1 Ti 0.500 0.500 0.500
Si1 Si 0.000 0.000 0.000

# 7
# BaTl2Si2 PBE relaxed
# DFT total energy: -3.403 eV per atom
# magnetization: 0.00 μB per formula unit
# E_form (uncorrected): 0.097 eV per atom
# energy above the lowest structure with this stoichiometry: 13.5 kJ/mol of atoms
data_BaTl2Si2
_chemical_formula_sum 'Ba2 Tl4 Si4'
_cell_length_a 8.202
_cell_length_b 8.202
_cell_length_c 4.403
_cell_angle_alpha 90.00
_cell_angle_beta 90.00
_cell_angle_gamma 90.00
_symmetry_space_group_name_H-M 'P 4/m b m'
_symmetry_Int_Tables_number 127
_symmetry_space_group_name_Hall '-P 4 2ab'
loop_
_atom_site_label
_atom_site_type_symbol
_atom_site_fract_x
_atom_site_fract_y
_atom_site_fract_z
Ba1 Ba 0.000 0.000 0.000
Tl1 Tl 0.163 0.337 0.500
Si1 Si 0.099 0.599 0.000

# 8
# Ba2TlSi PBE relaxed
# DFT total energy: -2.842 eV per atom
# magnetization: 0.00 μB per formula unit
# E_form (uncorrected): 0.067 eV per atom
data_Ba2TlSi
_chemical_formula_sum 'Ba8 Tl4 Si4'
_cell_length_a 9.316
_cell_length_b 9.316
_cell_length_c 7.455
_cell_angle_alpha 90.00
_cell_angle_beta 90.00
_cell_angle_gamma 90.00
_symmetry_space_group_name_H-M 'I -4 2 d'
_symmetry_Int_Tables_number 122
_symmetry_space_group_name_Hall 'I -4 2bw'
loop_
_atom_site_label
_atom_site_type_symbol
_atom_site_fract_x
_atom_site_fract_y
_atom_site_fract_z
Ba1 Ba 0.212 0.250 0.125
Tl1 Tl 0.000 0.000 0.500
Si1 Si 0.000 0.000 0.000

# 9
# BaTlSi2 PBE relaxed
# DFT total energy: -3.542 eV per atom
# magnetization: 0.00 μB per formula unit
# E_form (uncorrected): 0.241 eV per atom
# energy above the lowest structure with this stoichiometry: 35.6 kJ/mol of atoms
data_BaTlSi2
_chemical_formula_sum 'Ba1 Tl1 Si2'
_cell_length_a 4.830
_cell_length_b 4.830
_cell_length_c 4.554
_cell_angle_alpha 90.00
_cell_angle_beta 90.00
_cell_angle_gamma 90.00
_symmetry_space_group_name_H-M 'P 4/m m m'
_symmetry_Int_Tables_number 123
_symmetry_space_group_name_Hall '-P 4 2'
loop_
_atom_site_label
_atom_site_type_symbol
_atom_site_fract_x
_atom_site_fract_y
_atom_site_fract_z
Ba1 Ba 0.000 0.000 0.000
Tl1 Tl 0.500 0.500 0.000
Si1 Si 0.000 0.500 0.500

# 10
# Ba3TlSi PBE relaxed
# DFT total energy: -2.769 eV per atom
# magnetization: 2.61 μB per formula unit
# E_form (uncorrected): -0.058 eV per atom
# energy above the lowest structure with this stoichiometry: 23.4 kJ/mol of atoms
data_Ba3TlSi
_chemical_formula_sum 'Ba3 Tl1 Si1'
_cell_length_a 6.386
_cell_length_b 6.386
_cell_length_c 6.386
_cell_angle_alpha 90.00
_cell_angle_beta 90.00
_cell_angle_gamma 90.00
_symmetry_space_group_name_H-M 'P m -3 m'
_symmetry_Int_Tables_number 221
_symmetry_space_group_name_Hall '-P 4 2 3'
loop_
_atom_site_label
_atom_site_type_symbol
_atom_site_fract_x
_atom_site_fract_y
_atom_site_fract_z
Ba1 Ba 0.000 0.000 0.500
Tl1 Tl 0.500 0.500 0.500
Si1 Si 0.000 0.000 0.000

# 11
# BaTlSi2 PBE relaxed
# DFT total energy: -3.911 eV per atom
# magnetization: 0.00 μB per formula unit
# E_form (uncorrected): -0.127 eV per atom
# energy above the lowest structure with this stoichiometry: 0.1 kJ/mol of atoms
data_BaTlSi2
_chemical_formula_sum 'Ba1 Tl1 Si2'
_cell_length_a 4.621
_cell_length_b 3.957
_cell_length_c 6.588
_cell_angle_alpha 90.00
_cell_angle_beta 106.58
_cell_angle_gamma 90.00
_symmetry_space_group_name_H-M 'P 1 m 1'
_symmetry_Int_Tables_number 6
loop_
_symmetry_equiv_pos_as_xyz
'x,y,z'
'x,-y,z'
loop_
_atom_site_label
_atom_site_type_symbol
_atom_site_fract_x
_atom_site_fract_y
_atom_site_fract_z
Ba1 Ba 0.000 0.000 0.000
Tl1 Tl 0.739 0.500 0.417
Si1 Si 0.301 0.000 0.547
Si2 Si 0.407 0.500 0.768

# 12
# BaTlSi2 PBE relaxed
# DFT total energy: -3.488 eV per atom
# magnetization: 0.00 μB per formula unit
# E_form (uncorrected): 0.295 eV per atom
# energy above the lowest structure with this stoichiometry: 40.9 kJ/mol of atoms
data_BaTlSi2
_chemical_formula_sum 'Ba2 Tl2 Si4'
_cell_length_a 4.818
_cell_length_b 4.818
_cell_length_c 9.285
_cell_angle_alpha 90.00
_cell_angle_beta 90.00
_cell_angle_gamma 90.00
_symmetry_space_group_name_H-M 'I -4 m 2'
_symmetry_Int_Tables_number 119
_symmetry_space_group_name_Hall 'I -4 -2'
loop_
_atom_site_label
_atom_site_type_symbol
_atom_site_fract_x
_atom_site_fract_y
_atom_site_fract_z
Ba1 Ba 0.000 0.000 0.000
Tl1 Tl 0.000 0.500 0.250
Si1 Si 0.000 0.000 0.500
Si2 Si 0.000 0.500 0.750